# CdHSI PBE optimized geometry
# total magnetization	0.0	Bohr magnetons per cell
# raw total energy	-22.90	eV per cell
data_CdHSI
_chemical_formula_sum 'Cd2 H2 S2 I2'
_cell_length_a 7.611
_cell_length_b 4.382
_cell_length_c 7.028
_cell_angle_alpha 90.00
_cell_angle_beta 111.59
_cell_angle_gamma 90.00
_symmetry_space_group_name_H-M 'C 1 m 1'
_symmetry_Int_Tables_number 8
loop_
_symmetry_equiv_pos_as_xyz
'x,y,z'
'x,-y,z'
'x+1/2,y+1/2,z'
'x+1/2,-y+1/2,z'
loop_
_atom_site_label
_atom_site_fract_x
_atom_site_fract_y
_atom_site_fract_z
Cd1 0.000 0.000 0.000
H1 0.055 0.500 0.676
S1 0.128 0.500 0.885
I1 0.136 0.000 0.416